A plane-wave DFT calculation with PBE was carried out for Ba2UTc3O12 after structural relaxation.

Results
Formation energy from raw total energies   -2082 meV/atom
DOS at the Fermi energy   0.41 states/eV/atom
Total magnetization   0.120 μB per atom

Unit cell a=7.5988 b=7.5988 c=7.5988 alpha=58.20 beta=58.20 gamma=58.20
Closest atoms and distances in Å follow each position.
Element x y z (fractional)
1 Ba 0.1848 0.1848 0.1848  3 O 2.61
2 Ba 0.8152 0.8152 0.8152  3 O 2.61
3 U 0.5000 0.5000 0.5000  6 O 2.10
4 Tc 0.0000 0.5000 0.5000  6 O 1.93-2.05
5 Tc 0.5000 0.0000 0.5000  6 O 1.93-2.05
6 Tc 0.5000 0.5000 0.0000  6 O 1.93-2.05
7 O 0.1627 0.5789 0.5789  1 Tc 2.05, 1 U 2.10
8 O 0.1987 0.1987 0.5627  2 Tc 1.93
9 O 0.1987 0.5627 0.1987  2 Tc 1.93
10 O 0.4211 0.4211 0.8373  1 Tc 2.05, 1 U 2.10
11 O 0.4211 0.8373 0.4211  1 Tc 2.05, 1 U 2.10
12 O 0.4373 0.8013 0.8013  2 Tc 1.93
13 O 0.5627 0.1987 0.1987  2 Tc 1.93
14 O 0.5789 0.1627 0.5789  1 Tc 2.05, 1 U 2.10
15 O 0.5789 0.5789 0.1627  1 Tc 2.05, 1 U 2.10
16 O 0.8013 0.4373 0.8013  2 Tc 1.93
17 O 0.8013 0.8013 0.4373  2 Tc 1.93
18 O 0.8373 0.4211 0.4211  1 Tc 2.05, 1 U 2.10